5
Lattice="-4.818 -1.659 -0.789 0.994 -4.217 2.796 -1.177 1.875 3.247" Properties=species:S:1:pos:R:3 comment="PBE-GGA ZnTeP2O, optimized geometry" formation_energy_uncorrected_ev_per_atom=0.61 dos_at_fermi_per_ev_atom=0.580 dft_energy_ev_per_cell=-17.163 density_g_cm3=4.31 spacegroup=P4/mmm pbc="T T T"
P 0.497 -2.108 1.398
P -2.409 -0.829 -0.395
Zn -2.501 -2.000 2.627
Te 0.000 0.000 0.000
O -0.589 0.938 1.623



5
Lattice="4.884 0.000 0.000 0.000 4.884 0.000 0.000 0.000 3.695" Properties=species:S:1:pos:R:3 comment="PBE-GGA ZnTeP2O, optimized geometry" formation_energy_uncorrected_ev_per_atom=0.41 dos_at_fermi_per_ev_atom=0.771 dft_energy_ev_per_cell=-18.165 density_g_cm3=5.10 spacegroup=P4/mmm pbc="T T T"
P 0.000 2.442 0.000
P 2.442 0.000 0.000
Zn 0.000 0.000 0.000
Te 2.442 2.442 1.847
O 0.000 0.000 1.847



5
Lattice="-1.423 -2.706 2.492 2.697 1.049 2.680 -3.404 3.634 2.003" Properties=species:S:1:pos:R:3 comment="PBE-GGA ZnTePO2, optimized geometry" formation_energy_uncorrected_ev_per_atom=-0.17 dos_at_fermi_per_ev_atom=0.411 dft_energy_ev_per_cell=-20.602 density_g_cm3=5.09 spacegroup=P4/mmm pbc="T T T"
P -1.702 1.817 1.001
Zn -1.065 0.988 3.587
Te 0.000 0.000 0.000
O 1.349 0.525 1.340
O -0.711 -1.353 1.246



5
Lattice="-2.238 2.159 -2.422 -3.154 -0.759 2.238 0.916 3.870 2.604" Properties=species:S:1:pos:R:3 comment="PBE-GGA ZnTePO2, optimized geometry" formation_energy_uncorrected_ev_per_atom=0.16 dos_at_fermi_per_ev_atom=0.712 dft_energy_ev_per_cell=-18.960 density_g_cm3=5.76 spacegroup=P4/mmm pbc="T T T"
P 0.458 1.935 1.302
Zn 0.000 0.000 0.000
Te -2.238 2.635 1.210
O -1.577 -0.380 1.119
O -1.119 1.080 -1.211